Compound: Ni3HRu
Source: the Alexandria database
Functional: SCAN
Structure: PBEsol geometry

Geometry as POSCAR:
```
Ni3HRu
1.0
3.605 0.000 0.000
0.000 3.605 0.000
0.000 0.000 3.605
Ni H Ru
3 1 1
direct
0.000 0.500 0.000
0.000 0.000 0.500
0.500 0.000 0.000
0.000 0.000 0.000
0.500 0.500 0.500
```

Calculated values
The density of states at the Fermi level comes out at 5.2 states/eV/f.u. The total energy comes out at -85.8 eV/cell. Its density is 9.9 g cm⁻³. Its symmetry is Pm-3m (221).